! HoMgNiAu PBE optimized geometry; values from VASP
! uncorrected energy: -17.23 eV/cell
! spin magnetization: 0.000 μB/cell
! symmetry: F-43m, No. 216
! ΔH_f (0 K): -0.50 eV/atom
! density: 9.77 g/cm³
&SYSTEM
  ibrav = 0, nat = 4, ntyp = 4
/
ATOMIC_SPECIES
Ho 164.93 Ho.upf
Mg 24.30 Mg.upf
Ni 58.69 Ni.upf
Au 196.97 Au.upf
CELL_PARAMETERS angstrom
0.0000 3.3559 3.3559
3.3559 0.0000 3.3559
3.3559 3.3559 0.0000
ATOMIC_POSITIONS angstrom
Ho 0.0000 0.0000 0.0000
Mg 3.3559 3.3559 3.3559
Ni 1.6780 1.6780 1.6780
Au 5.0339 5.0339 5.0339

***

! HoMgPdAu PBE optimized geometry; values from VASP
! uncorrected energy: -17.80 eV/cell
! spin magnetization: 0.000 μB/cell
! symmetry: F-43m, No. 216
! ΔH_f (0 K): -0.79 eV/atom
! density: 10.30 g/cm³
&SYSTEM
  ibrav = 0, nat = 4, ntyp = 4
/
ATOMIC_SPECIES
Ho 164.93 Ho.upf
Mg 24.30 Mg.upf
Pd 106.42 Pd.upf
Au 196.97 Au.upf
CELL_PARAMETERS angstrom
0.0000 3.4121 3.4121
3.4121 0.0000 3.4121
3.4121 3.4121 0.0000
ATOMIC_POSITIONS angstrom
Ho 0.0000 0.0000 0.0000
Mg 3.4121 3.4121 3.4121
Pd 5.1182 5.1182 5.1182
Au 1.7061 1.7061 1.7061

***

! PmHoMg2Au4 PBE optimized geometry; values from VASP
! uncorrected energy: -31.74 eV/cell
! spin magnetization: 0.000 μB/cell
! symmetry: R-3m, No. 166
! ΔH_f (0 K): -0.76 eV/atom
! density: 11.14 g/cm³
&SYSTEM
  ibrav = 0, nat = 8, ntyp = 4
/
ATOMIC_SPECIES
Pm 145.00 Pm.upf
Ho 164.93 Ho.upf
Mg 24.30 Mg.upf
Au 196.97 Au.upf
CELL_PARAMETERS angstrom
2.4741 1.4284 8.0581
-2.4741 1.4284 8.0581
0.0000 -2.8568 8.0581
ATOMIC_POSITIONS angstrom
Pm 0.0000 0.0000 0.0000
Ho 0.0000 0.0000 12.0872
Mg 0.0000 0.0000 6.0285
Mg 0.0000 0.0000 18.1459
Au 0.0000 0.0000 3.1070
Au 0.0000 0.0000 9.1427
Au 0.0000 0.0000 15.0317
Au 0.0000 0.0000 21.0674

***

! PmHo2MgAu4 PBE optimized geometry; values from VASP
! uncorrected energy: -34.91 eV/cell
! spin magnetization: 0.000 μB/cell
! symmetry: R-3m, No. 166
! ΔH_f (0 K): -0.79 eV/atom
! density: 11.84 g/cm³
&SYSTEM
  ibrav = 0, nat = 8, ntyp = 4
/
ATOMIC_SPECIES
Pm 145.00 Pm.upf
Ho 164.93 Ho.upf
Mg 24.30 Mg.upf
Au 196.97 Au.upf
CELL_PARAMETERS angstrom
2.5004 1.4436 8.3318
-2.5004 1.4436 8.3318
0.0000 -2.8872 8.3318
ATOMIC_POSITIONS angstrom
Pm 0.0000 0.0000 0.0000
Ho 0.0000 0.0000 6.0831
Ho 0.0000 0.0000 18.9123
Mg 0.0000 0.0000 12.4977
Au 0.0000 0.0000 3.0857
Au 0.0000 0.0000 9.5678
Au 0.0000 0.0000 15.4276
Au 0.0000 0.0000 21.9097

***

! HoMgPtAu PBE optimized geometry; values from VASP
! uncorrected energy: -19.12 eV/cell
! spin magnetization: 0.000 μB/cell
! symmetry: F-43m, No. 216
! ΔH_f (0 K): -0.91 eV/atom
! density: 12.23 g/cm³
&SYSTEM
  ibrav = 0, nat = 4, ntyp = 4
/
ATOMIC_SPECIES
Ho 164.93 Ho.upf
Mg 24.30 Mg.upf
Pt 195.08 Pt.upf
Au 196.97 Au.upf
CELL_PARAMETERS angstrom
0.0000 3.4041 3.4041
3.4041 0.0000 3.4041
3.4041 3.4041 0.0000
ATOMIC_POSITIONS angstrom
Ho 0.0000 0.0000 0.0000
Mg 3.4041 3.4041 3.4041
Pt 5.1062 5.1062 5.1062
Au 1.7021 1.7021 1.7021

***

! HoPuMg2Au4 PBE optimized geometry; values from VASP
! uncorrected energy: -40.18 eV/cell
! spin magnetization: 5.425 μB/cell
! symmetry: R-3m, No. 166
! ΔH_f (0 K): -0.62 eV/atom
! density: 12.16 g/cm³
&SYSTEM
  ibrav = 0, nat = 8, ntyp = 4
/
ATOMIC_SPECIES
Ho 164.93 Ho.upf
Pu 244.00 Pu.upf
Mg 24.30 Mg.upf
Au 196.97 Au.upf
CELL_PARAMETERS angstrom
2.4692 1.4256 8.0541
-2.4692 1.4256 8.0541
0.0000 -2.8511 8.0541
ATOMIC_POSITIONS angstrom
Ho 0.0000 0.0000 0.0000
Pu 0.0000 0.0000 12.0811
Mg 0.0000 0.0000 6.0367
Mg 0.0000 0.0000 18.1254
Au 0.0000 0.0000 2.9536
Au 0.0000 0.0000 8.9919
Au 0.0000 0.0000 15.1703
Au 0.0000 0.0000 21.2085

***

! HoMgRhAu PBE optimized geometry; values from VASP
! uncorrected energy: -19.59 eV/cell
! spin magnetization: 0.000 μB/cell
! symmetry: F-43m, No. 216
! ΔH_f (0 K): -0.70 eV/atom
! density: 10.57 g/cm³
&SYSTEM
  ibrav = 0, nat = 4, ntyp = 4
/
ATOMIC_SPECIES
Ho 164.93 Ho.upf
Mg 24.30 Mg.upf
Rh 102.91 Rh.upf
Au 196.97 Au.upf
CELL_PARAMETERS angstrom
0.0000 3.3744 3.3744
3.3744 0.0000 3.3744
3.3744 3.3744 0.0000
ATOMIC_POSITIONS angstrom
Ho 0.0000 0.0000 0.0000
Mg 3.3744 3.3744 3.3744
Rh 1.6872 1.6872 1.6872
Au 5.0616 5.0616 5.0616

***

! HoMgSbAu PBE optimized geometry; values from VASP
! uncorrected energy: -15.84 eV/cell
! spin magnetization: 0.000 μB/cell
! symmetry: F-43m, No. 216
! density: 9.08 g/cm³
! energy relative to the elements, uncorrected: -0.567 eV/atom
&SYSTEM
  ibrav = 0, nat = 4, ntyp = 4
/
ATOMIC_SPECIES
Ho 164.93 Ho.upf
Mg 24.30 Mg.upf
Sb 121.76 Sb.upf
Au 196.97 Au.upf
CELL_PARAMETERS angstrom
0.0000 3.5950 3.5950
3.5950 0.0000 3.5950
3.5950 3.5950 0.0000
ATOMIC_POSITIONS angstrom
Ho 0.0000 0.0000 0.0000
Mg 3.5950 3.5950 3.5950
Sb 1.7975 1.7975 1.7975
Au 5.3925 5.3925 5.3925

***

! HoMgSc2Au4 PBE optimized geometry; values from VASP
! uncorrected energy: -38.15 eV/cell
! spin magnetization: 0.000 μB/cell
! symmetry: R-3m, No. 166
! ΔH_f (0 K): -0.78 eV/atom
! density: 10.98 g/cm³
&SYSTEM
  ibrav = 0, nat = 8, ntyp = 4
/
ATOMIC_SPECIES
Ho 164.93 Ho.upf
Mg 24.30 Mg.upf
Sc 44.96 Sc.upf
Au 196.97 Au.upf
CELL_PARAMETERS angstrom
2.4100 1.3914 8.0207
-2.4100 1.3914 8.0207
0.0000 -2.7828 8.0207
ATOMIC_POSITIONS angstrom
Ho 0.0000 0.0000 0.0000
Mg 0.0000 0.0000 12.0310
Sc 0.0000 0.0000 5.9015
Sc 0.0000 0.0000 18.1605
Au 0.0000 0.0000 2.9948
Au 0.0000 0.0000 9.1707
Au 0.0000 0.0000 14.8914
Au 0.0000 0.0000 21.0673

***

! HoMgSiAu PBE optimized geometry; values from VASP
! uncorrected energy: -17.04 eV/cell
! spin magnetization: 0.000 μB/cell
! symmetry: F-43m, No. 216
! density: 8.49 g/cm³
! energy relative to the elements, uncorrected: -0.543 eV/atom
&SYSTEM
  ibrav = 0, nat = 4, ntyp = 4
/
ATOMIC_SPECIES
Ho 164.93 Ho.upf
Mg 24.30 Mg.upf
Si 28.09 Si.upf
Au 196.97 Au.upf
CELL_PARAMETERS angstrom
0.0000 3.4343 3.4343
3.4343 0.0000 3.4343
3.4343 3.4343 0.0000
ATOMIC_POSITIONS angstrom
Ho 0.0000 0.0000 0.0000
Mg 3.4343 3.4343 3.4343
Si 1.7172 1.7172 1.7172
Au 5.1515 5.1515 5.1515

***

! SmHoMgAu PBE optimized geometry; values from VASP
! uncorrected energy: -16.00 eV/cell
! spin magnetization: 0.000 μB/cell
! symmetry: P4mm, No. 99
! ΔH_f (0 K): -0.46 eV/atom
! density: 8.75 g/cm³
&SYSTEM
  ibrav = 0, nat = 4, ntyp = 4
/
ATOMIC_SPECIES
Sm 150.36 Sm.upf
Ho 164.93 Ho.upf
Mg 24.30 Mg.upf
Au 196.97 Au.upf
CELL_PARAMETERS angstrom
3.7236 0.0000 0.0000
0.0000 3.7236 0.0000
0.0000 0.0000 7.3453
ATOMIC_POSITIONS angstrom
Sm 0.0000 0.0000 0.0000
Ho 0.0000 0.0000 3.4574
Mg 1.8618 1.8618 5.3479
Au 1.8618 1.8618 1.8755

***

! SmHo2MgAu4 PBE optimized geometry; values from VASP
! uncorrected energy: -34.91 eV/cell
! spin magnetization: 0.000 μB/cell
! symmetry: R-3m, No. 166
! ΔH_f (0 K): -0.79 eV/atom
! density: 11.96 g/cm³
&SYSTEM
  ibrav = 0, nat = 8, ntyp = 4
/
ATOMIC_SPECIES
Sm 150.36 Sm.upf
Ho 164.93 Ho.upf
Mg 24.30 Mg.upf
Au 196.97 Au.upf
CELL_PARAMETERS angstrom
2.5010 1.4439 8.2823
-2.5010 1.4439 8.2823
0.0000 -2.8879 8.2823
ATOMIC_POSITIONS angstrom
Sm 0.0000 0.0000 0.0000
Ho 0.0000 0.0000 6.0643
Ho 0.0000 0.0000 18.7827
Mg 0.0000 0.0000 12.4235
Au 0.0000 0.0000 3.0698
Au 0.0000 0.0000 9.4545
Au 0.0000 0.0000 15.3925
Au 0.0000 0.0000 21.7772